BaFe2Ge after structural relaxation, computed with PBE-GGA.

- DOS(E_F) (states/eV per cell) = 12.364
- total magnetization (μB/f.u.) = 4.59
- volume (Å³/atom) = 22.6
- formation energy from the elements (eV/atom) = 0.328

Cell: 4.6385 4.6385 9.0088 Å, 75.08 75.08 90.00°
Atoms (fractional coordinates):
Ge  0.5000  0.5000  0.0000
Ba  0.0000  0.0000  0.0000
Fe  0.3750  0.6250  0.2500
Ba  0.7500  0.2500  0.5000
Fe  0.3750  0.6250  0.7500
Fe  0.8750  0.6250  0.7500
Fe  0.3750  0.1250  0.2500
Ge  0.2500  0.7500  0.5000

***

NaLi2SnN after structural relaxation, computed with PBE-GGA.

- DOS(E_F) (states/eV per cell) = 1.699
- formation energy (no corrections) (eV/atom) = 0.012
- total magnetization (μB/f.u.) = 0.00
- volume (Å³/atom) = 17.5

Cell: 4.2487 4.8471 4.2487 Å, 90.00 90.00 90.00°
Atoms (fractional coordinates):
Li  0.5000  0.0000  0.0000
Sn  0.0000  0.5000  0.0000
Na  0.5000  0.5000  0.5000
N  0.0000  0.0000  0.0000
Li  0.0000  0.0000  0.5000

***

Al5GaAg after structural relaxation, computed with PBE-GGA.

- DOS(E_F) (states/eV per cell) = 3.003
- total magnetization (μB/f.u.) = 0.00
- volume (Å³/atom) = 18.1
- formation energy from the elements (eV/atom) = 0.060

Cell: 4.0726 4.0726 7.6259 Å, 90.00 90.00 90.00°
Atoms (fractional coordinates):
Al  0.0000  0.5000  0.2663
Al  0.5000  0.0000  0.7337
Al  0.0000  0.5000  0.7337
Al  0.5000  0.0000  0.2663
Ag  0.0000  0.0000  0.5000
Ga  0.0000  0.0000  0.0000
Al  0.5000  0.5000  0.0000

***

La4TlHg after structural relaxation, computed with PBE-GGA.

- DOS(E_F) (states/eV per cell) = 8.465
- total magnetization (μB/f.u.) = 0.00
- volume (Å³/atom) = 32.8
- formation energy from the elements (eV/atom) = 0.125

Cell: 6.5269 6.5269 6.5269 Å, 60.00 60.00 60.00°
Atoms (fractional coordinates):
Hg  0.0000  0.0000  0.0000
La  0.3760  0.8721  0.3760
La  0.3760  0.3760  0.8721
Tl  0.7500  0.7500  0.7500
La  0.3760  0.3760  0.3760
La  0.8721  0.3760  0.3760

***

Ho3ScTl3 after structural relaxation, computed with PBE-GGA.

- DOS(E_F) (states/eV per cell) = 15.843
- total magnetization (μB/f.u.) = 0.00
- volume (Å³/atom) = 27.9
- formation energy from the elements (eV/atom) = -0.103

Cell: 5.5717 8.9959 8.9959 Å, 120.00 90.00 90.00°
Atoms (fractional coordinates):
Ho  0.2500  0.0982  0.6390
Tl  0.7500  0.1969  0.2512
Tl  0.7500  0.0543  0.8031
Ho  0.7500  0.9018  0.3610
Tl  0.2500  0.8031  0.7488
Ho  0.7500  0.6390  0.5409
Tl  0.7500  0.7488  0.9457
Sc  0.2500  0.6667  0.3333
Sc  0.7500  0.3333  0.6667
Tl  0.2500  0.2512  0.0543
Ho  0.2500  0.5409  0.9018
Ho  0.7500  0.4591  0.0982
Tl  0.2500  0.9457  0.1969
Ho  0.2500  0.3610  0.4591

***

SrCr2W after structural relaxation, computed with PBE-GGA.

- DOS(E_F) (states/eV per cell) = 4.273
- total magnetization (μB/f.u.) = 5.41
- volume (Å³/atom) = 18.6
- formation energy from the elements (eV/atom) = 1.200

Cell: 5.0037 5.0037 3.0003 Å, 90.01 90.01 98.75°
Atoms (fractional coordinates):
Cr  0.5000  0.5000  0.0000
Cr  0.0000  0.0000  0.0000
Sr  0.5000  0.0000  0.5000
W  0.0000  0.5000  0.5000

***

SrInO after structural relaxation, computed with PBE-GGA.

- DOS(E_F) (states/eV per cell) = 1.740
- formation energy (no corrections) (eV/atom) = -1.598
- total magnetization (μB/f.u.) = 0.00
- volume (Å³/atom) = 23.6

Cell: 3.5307 6.0964 6.8821 Å, 90.01 90.00 106.83°
Atoms (fractional coordinates):
Sr  0.0000  0.0000  0.5000
In  0.2610  0.5221  0.7499
O  0.5489  0.0979  0.2500
Sr  0.0000  0.0000  0.0000
In  0.7390  0.4779  0.2501
O  0.4511  0.9021  0.7500

***

CeHo4Er2 after structural relaxation, computed with PBE-GGA.

- DOS(E_F) (states/eV per cell) = 15.943
- total magnetization (μB/f.u.) = 2.12
- volume (Å³/atom) = 32.8
- formation energy from the elements (eV/atom) = 0.558

Cell: 5.8641 6.0984 7.1052 Å, 115.41 90.00 90.00°
Atoms (fractional coordinates):
Ho  0.5000  0.3605  0.7211
Ho  0.0000  0.2018  0.4036
Ho  0.0000  0.7982  0.5964
Ho  0.5000  0.6395  0.2789
Er  0.5000  0.1105  0.2209
Er  0.5000  0.8895  0.7791
Ce  0.0000  0.5000  0.0000

***

RbB3P after structural relaxation, computed with PBE-GGA.

- total magnetization (μB/f.u.) = 0.00
- volume (Å³/atom) = 18.7
- formation energy from the elements (eV/atom) = 0.055

Cell: 4.5945 6.2422 7.0791 Å, 84.88 83.21 68.44°
Atoms (fractional coordinates):
B  0.7284  0.0793  0.6721
Rb  0.4493  0.3882  0.0559
P  0.2913  0.5793  0.6009
B  0.0579  0.3905  0.6406
P  0.2027  0.9662  0.9541
B  0.1256  0.8886  0.7025
Rb  0.7194  0.8245  0.3073
B  0.3554  0.0816  0.7034
B  0.0312  0.1515  0.5828
B  0.7105  0.3750  0.6212

***

Be3BiH after structural relaxation, computed with PBE-GGA.

- DOS(E_F) (states/eV per cell) = 1.782
- total magnetization (μB/f.u.) = 0.00
- volume (Å³/atom) = 12.4
- final energy (eV/atom) = -2.871

Cell: 3.9560 3.9560 3.9560 Å, 90.00 90.00 90.00°
Atoms (fractional coordinates):
Be  0.0000  0.5000  0.0000
Bi  0.5000  0.5000  0.5000
H  0.0000  0.0000  0.0000
Be  0.5000  0.0000  0.0000
Be  0.0000  0.0000  0.5000

***

BaLiCd2Ni after structural relaxation, computed with PBE-GGA.

- DOS(E_F) (states/eV per cell) = 3.253
- total magnetization (μB/f.u.) = 0.00
- volume (Å³/atom) = 26.2
- formation energy from the elements (eV/atom) = -0.091

Cell: 5.1360 5.1360 4.9684 Å, 90.00 90.00 90.00°
Atoms (fractional coordinates):
Cd  0.0000  0.5000  0.0000
Ni  0.0000  0.0000  0.0000
Li  0.0000  0.0000  0.5000
Ba  0.5000  0.5000  0.5000
Cd  0.5000  0.0000  0.0000

***

AcSbH after structural relaxation, computed with PBE-GGA.

- DOS(E_F) (states/eV per cell) = 1.646
- total magnetization (μB/f.u.) = 0.00
- volume (Å³/atom) = 24.9
- final energy (eV/atom) = -4.368

Cell: 4.7301 4.7301 4.7301 Å, 60.00 60.00 60.00°
Atoms (fractional coordinates):
H  0.2500  0.2500  0.2500
Sb  0.5000  0.5000  0.5000
Ac  0.0000  0.0000  0.0000